{"formula": "NiRuRh2Br", "functional": "meta-GGA SCAN", "state": "single point on PBEsol structure", "lattice_angstrom": [[4.334, 0.000, 0.000], [0.000, 4.495, 0.000], [0.000, 0.000, 4.495]], "species": ["Ru", "Rh", "Rh", "Br", "Ni"], "fractional_positions": [[0.500, 0.500, 0.500], [0.000, 0.000, 0.500], [0.000, 0.500, 0.000], [0.500, 0.000, 0.000], [0.000, 0.000, 0.000]], "space_group": "P4/mmm, No. 123", "e_form_raw_kj_per_mol_fu": 722, "crystal_system": "tetragonal", "n_ef_per_ev_cell": 6.19, "volume_a3_per_fu": 87.6, "final_energy_ev_per_cell": -130.5}

---

{"formula": "NiRu2Br", "functional": "meta-GGA SCAN", "state": "single point on PBEsol structure", "lattice_angstrom": [[-0.975, 1.337, -3.575], [-0.499, -4.449, 0.643], [-2.772, 2.288, 1.612]], "species": ["Br", "Ni", "Ru", "Ru"], "fractional_positions": [[0.500, 0.000, 0.500], [0.250, 0.500, 0.750], [0.000, 0.000, 0.000], [0.750, 0.500, 0.250]], "space_group": "I-4m2, No. 119", "e_form_raw_kj_per_mol_fu": 405, "crystal_system": "tetragonal", "de_polymorph_ev_per_atom": 0.0807, "n_ef_per_ev_cell": 3.97, "volume_a3_per_fu": 55.3, "final_energy_ev_per_cell": -101.1}

---

{"formula": "NiRu2Br", "functional": "meta-GGA SCAN", "state": "single point on PBEsol structure", "lattice_angstrom": [[2.785, 0.000, 0.000], [0.000, 4.474, 0.000], [0.000, 0.000, 4.507]], "species": ["Br", "Ni", "Ru", "Ru"], "fractional_positions": [[0.500, 0.500, 0.000], [0.000, 0.500, 0.500], [0.000, 0.000, 0.000], [0.500, 0.000, 0.500]], "space_group": "Pmmm, No. 47", "e_form_raw_kj_per_mol_fu": 405, "crystal_system": "orthorhombic", "de_polymorph_ev_per_atom": 0.0827, "n_ef_per_ev_cell": 5.98, "volume_a3_per_fu": 56.2, "final_energy_ev_per_cell": -101.1}

---

{"formula": "NiRu2Br", "functional": "meta-GGA SCAN", "state": "single point on PBEsol structure", "lattice_angstrom": [[-0.029, -0.788, -2.824], [-3.402, -2.515, 0.736], [-2.620, 3.284, -0.889]], "species": ["Br", "Ni", "Ru", "Ru"], "fractional_positions": [[0.500, 0.500, 0.500], [0.500, 0.000, 0.000], [0.000, 0.000, 0.500], [0.000, 0.500, 0.000]], "space_group": "P4/mmm, No. 123", "e_form_raw_kj_per_mol_fu": 373, "crystal_system": "tetragonal", "de_polymorph_ev_per_atom": 0.0000, "n_ef_per_ev_cell": 4.16, "volume_a3_per_fu": 54.1, "final_energy_ev_per_cell": -101.4}

---

{"formula": "NiRuSeBr2", "functional": "meta-GGA SCAN", "state": "single point on PBEsol structure", "lattice_angstrom": [[-3.420, -2.387, -2.098], [0.862, -3.663, 2.763], [-3.132, 1.676, 3.198]], "species": ["Ru", "Se", "Br", "Br", "Ni"], "fractional_positions": [[0.500, 0.500, 0.500], [0.000, 0.000, 0.500], [0.000, 0.500, 0.000], [0.500, 0.000, 0.000], [0.000, 0.000, 0.000]], "space_group": "P4/mmm, No. 123", "e_form_raw_kj_per_mol_fu": 346, "crystal_system": "tetragonal", "n_ef_per_ev_cell": 3.00, "volume_a3_per_fu": 104.2, "final_energy_ev_per_cell": -106.4}

---

{"formula": "NiS2Br", "functional": "meta-GGA SCAN", "state": "single point on PBEsol structure", "lattice_angstrom": [[-2.605, -1.996, 1.122], [-0.895, -2.843, -1.774], [3.426, -5.453, 3.617]], "species": ["Ni", "S", "S", "Br"], "fractional_positions": [[0.500, 0.500, 0.500], [0.885, 0.885, 0.346], [0.115, 0.115, 0.654], [0.000, 0.000, 0.000]], "space_group": "R-3m, No. 166", "e_form_raw_kj_per_mol_fu": -77, "crystal_system": "trigonal", "n_ef_per_ev_cell": 1.52, "volume_a3_per_fu": 74.1, "final_energy_ev_per_cell": -55.7}

---

{"formula": "NiSeSBr2", "functional": "meta-GGA SCAN", "state": "single point on PBEsol structure", "lattice_angstrom": [[4.631, 0.000, 0.000], [0.000, 4.631, 0.000], [0.000, 0.000, 4.784]], "species": ["Ni", "S", "Se", "Br", "Br"], "fractional_positions": [[0.000, 0.000, 0.000], [0.500, 0.500, 0.500], [0.000, 0.000, 0.500], [0.000, 0.500, 0.000], [0.500, 0.000, 0.000]], "space_group": "P4/mmm, No. 123", "e_form_raw_kj_per_mol_fu": 268, "crystal_system": "tetragonal", "n_ef_per_ev_cell": 5.06, "volume_a3_per_fu": 102.6, "final_energy_ev_per_cell": -82.0}

---

{"formula": "NiSb2Br", "functional": "meta-GGA SCAN", "state": "single point on PBEsol structure", "lattice_angstrom": [[-1.056, -4.820, -0.314], [0.531, -2.372, -4.306], [3.640, -3.296, -0.574]], "species": ["Br", "Ni", "Sb", "Sb"], "fractional_positions": [[0.500, 0.500, 0.500], [0.250, 0.250, 0.250], [0.000, 0.000, 0.000], [0.750, 0.750, 0.750]], "space_group": "F-43m, No. 216", "e_form_raw_kj_per_mol_fu": 221, "crystal_system": "cubic", "de_polymorph_ev_per_atom": 0.6425, "n_ef_per_ev_cell": 3.39, "volume_a3_per_fu": 85.5, "final_energy_ev_per_cell": -107.9}

---

{"formula": "NiSb2Br", "functional": "meta-GGA SCAN", "state": "single point on PBEsol structure", "lattice_angstrom": [[-0.355, 3.371, 0.933], [-3.204, 1.426, 0.255], [-1.558, -0.690, 8.524]], "species": ["Br", "Ni", "Sb", "Sb"], "fractional_positions": [[0.530, 0.530, 0.409], [0.252, 0.252, 0.243], [0.978, 0.978, 0.067], [0.740, 0.740, 0.781]], "space_group": "R3m, No. 160", "e_form_raw_kj_per_mol_fu": -27, "crystal_system": "trigonal", "de_polymorph_ev_per_atom": 0.0000, "n_ef_per_ev_cell": 1.47, "volume_a3_per_fu": 90.5, "final_energy_ev_per_cell": -110.4}

---

{"formula": "Ni3SbBr", "functional": "meta-GGA SCAN", "state": "single point on PBEsol structure", "lattice_angstrom": [[4.670, 0.000, 0.000], [0.000, 4.670, 0.000], [0.000, 0.000, 4.670]], "species": ["Sb", "Br", "Ni", "Ni", "Ni"], "fractional_positions": [[0.000, 0.000, 0.000], [0.500, 0.500, 0.500], [0.000, 0.500, 0.000], [0.000, 0.000, 0.500], [0.500, 0.000, 0.000]], "space_group": "Pm-3m, No. 221", "e_form_raw_kj_per_mol_fu": 472, "crystal_system": "cubic", "n_ef_per_ev_cell": 5.37, "volume_a3_per_fu": 101.8, "final_energy_ev_per_cell": -100.4}

---

{"formula": "NiSbBr2", "functional": "meta-GGA SCAN", "state": "single point on PBEsol structure", "lattice_angstrom": [[-0.918, -3.215, 0.944], [4.736, -1.240, 0.381], [-0.013, 1.387, 4.710]], "species": ["Br", "Br", "Ni", "Sb"], "fractional_positions": [[0.000, 0.500, 0.000], [0.000, 0.000, 0.500], [0.500, 0.000, 0.000], [0.500, 0.500, 0.500]], "space_group": "P4/mmm, No. 123", "e_form_raw_kj_per_mol_fu": 251, "crystal_system": "tetragonal", "n_ef_per_ev_cell": 2.47, "volume_a3_per_fu": 83.8, "final_energy_ev_per_cell": -89.8}

---

{"formula": "NiSb2Br", "functional": "meta-GGA SCAN", "state": "single point on PBEsol structure", "lattice_angstrom": [[6.374, 0.000, 0.000], [-3.187, 6.489, 0.059], [0.000, 3.080, 5.581]], "species": ["Sb", "Sb", "Sb", "Sb", "Br", "Br", "Ni", "Ni"], "fractional_positions": [[0.217, 0.750, 0.875], [0.533, 0.750, 0.375], [0.375, 0.250, 0.217], [0.875, 0.250, 0.533], [0.750, 0.500, 0.750], [0.000, 0.000, 0.000], [0.250, 0.500, 0.250], [0.500, 0.000, 0.500]], "space_group": "I-42d, No. 122", "e_form_raw_kj_per_mol_fu": 42, "crystal_system": "tetragonal", "de_polymorph_ev_per_atom": 0.1768, "n_ef_per_ev_cell": 5.64, "volume_a3_per_fu": 114.9, "final_energy_ev_per_cell": -219.4}

---

{"formula": "NiSb2Br", "functional": "meta-GGA SCAN", "state": "single point on PBEsol structure", "lattice_angstrom": [[-2.245, -0.547, -2.075], [3.570, -0.777, -3.657], [0.125, -5.029, 1.190]], "species": ["Br", "Ni", "Sb", "Sb"], "fractional_positions": [[0.500, 0.500, 0.500], [0.500, 0.000, 0.000], [0.000, 0.000, 0.500], [0.000, 0.500, 0.000]], "space_group": "P4/mmm, No. 123", "e_form_raw_kj_per_mol_fu": 222, "crystal_system": "tetragonal", "de_polymorph_ev_per_atom": 0.6445, "n_ef_per_ev_cell": 3.04, "volume_a3_per_fu": 83.0, "final_energy_ev_per_cell": -107.9}

---

{"formula": "ScNiBr3", "functional": "meta-GGA SCAN", "state": "single point on PBEsol structure", "lattice_angstrom": [[-1.793, 4.431, 0.583], [-4.445, -1.833, 0.262], [0.463, -0.440, 4.772]], "species": ["Sc", "Ni", "Br", "Br", "Br"], "fractional_positions": [[0.500, 0.500, 0.500], [0.000, 0.000, 0.000], [0.000, 0.500, 0.000], [0.000, 0.000, 0.500], [0.500, 0.000, 0.000]], "space_group": "Pm-3m, No. 221", "e_form_raw_kj_per_mol_fu": -191, "crystal_system": "cubic", "n_ef_per_ev_cell": 5.88, "volume_a3_per_fu": 111.6, "final_energy_ev_per_cell": -90.8}

---

{"formula": "Ni3SeBr", "functional": "meta-GGA SCAN", "state": "single point on PBEsol structure", "lattice_angstrom": [[4.394, 0.000, 0.000], [0.000, 4.394, 0.000], [0.000, 0.000, 4.394]], "species": ["Ni", "Ni", "Ni", "Se", "Br"], "fractional_positions": [[0.000, 0.500, 0.000], [0.000, 0.000, 0.500], [0.500, 0.000, 0.000], [0.000, 0.000, 0.000], [0.500, 0.500, 0.500]], "space_group": "Pm-3m, No. 221", "e_form_raw_kj_per_mol_fu": 277, "crystal_system": "cubic", "n_ef_per_ev_cell": 6.31, "volume_a3_per_fu": 84.8, "final_energy_ev_per_cell": -85.2}